First-principles (PBE-GGA) data for a relaxed La2Ni crystal, as listed in Alexandria via LeMat-Bulk.

Unit cell a=13.971 b=13.971 c=13.971 alpha=165.47 beta=165.47 gamma=20.61
Sites, in units of the cell vectors:
La: 0.314 0.564 0.750
La: 0.436 0.686 0.750
La: 0.564 0.314 0.250
La: 0.686 0.436 0.250
Ni: 0.125 0.875 0.250
Ni: 0.875 0.125 0.750

Summary:
energy relative to the elements = -10.7 kJ per mole of atoms

First-principles (PBE-GGA) data for a relaxed Ca2Ag2Sn crystal, as listed in Alexandria via LeMat-Bulk.

Unit cell a=8.540 b=8.540 c=3.715 alpha=90.00 beta=90.00 gamma=90.00
Sites, in units of the cell vectors:
Ca: 0.165 0.335 0.000
Ca: 0.335 0.835 0.000
Ca: 0.665 0.165 0.000
Ca: 0.835 0.665 0.000
Ag: 0.124 0.624 0.500
Ag: 0.376 0.124 0.500
Ag: 0.624 0.876 0.500
Ag: 0.876 0.376 0.500
Sn: 0.000 0.000 0.000
Sn: 0.500 0.500 0.000

Summary:
distance to the lowest polymorph of the same formula = 0.272 eV/atom
energy relative to the elements = -18.1 kJ per mole of atoms

First-principles (PBE-GGA) data for a relaxed Sm12HoHg6 crystal, as listed in Alexandria via LeMat-Bulk.

Unit cell a=9.175 b=9.175 c=9.175 alpha=110.88 beta=110.88 gamma=110.88
Sites, in units of the cell vectors:
Sm: 0.084 0.167 0.722
Sm: 0.167 0.722 0.084
Sm: 0.193 0.340 0.474
Sm: 0.278 0.916 0.833
Sm: 0.340 0.474 0.193
Sm: 0.474 0.193 0.340
Sm: 0.526 0.807 0.660
Sm: 0.660 0.526 0.807
Sm: 0.722 0.084 0.167
Sm: 0.807 0.660 0.526
Sm: 0.833 0.278 0.916
Sm: 0.916 0.833 0.278
Ho: 0.000 0.000 0.000
Hg: 0.075 0.588 0.360
Hg: 0.360 0.075 0.588
Hg: 0.412 0.640 0.925
Hg: 0.588 0.360 0.075
Hg: 0.640 0.925 0.412
Hg: 0.925 0.412 0.640

Summary:
energy relative to the elements = -16.5 kJ per mole of atoms

First-principles (PBE-GGA) data for a relaxed LiPm3Mg2 crystal, as listed in Alexandria via LeMat-Bulk.

Unit cell a=3.857 b=3.857 c=11.482 alpha=90.00 beta=90.00 gamma=90.00
Sites, in units of the cell vectors:
Li: 0.000 0.000 0.000
Pm: 0.500 0.500 0.168
Pm: 0.500 0.500 0.500
Pm: 0.500 0.500 0.832
Mg: 0.000 0.000 0.334
Mg: 0.000 0.000 0.666

Summary:
energy relative to the elements = -3.4 kJ per mole of atoms

First-principles (PBE-GGA) data for a relaxed BeCo2Os crystal, as listed in Alexandria via LeMat-Bulk.

Unit cell a=3.380 b=3.380 c=3.853 alpha=90.00 beta=90.00 gamma=90.00
Sites, in units of the cell vectors:
Be: 0.000 0.000 0.000
Co: 0.000 0.500 0.500
Co: 0.500 0.000 0.500
Os: 0.500 0.500 0.000

Summary:
energy relative to the elements = 12.5 kJ per mole of atoms

First-principles (PBE-GGA) data for a relaxed La4Sm2Ge3O2 crystal, as listed in Alexandria via LeMat-Bulk.

Unit cell a=12.841 b=12.841 c=12.841 alpha=158.52 beta=158.52 gamma=30.56
Sites, in units of the cell vectors:
La: 0.082 0.582 0.500
La: 0.418 0.918 0.500
La: 0.582 0.082 0.500
La: 0.918 0.418 0.500
Sm: 0.202 0.202 0.000
Sm: 0.798 0.798 0.000
Ge: 0.323 0.323 0.000
Ge: 0.500 0.500 0.000
Ge: 0.677 0.677 0.000
O: 0.107 0.107 0.000
O: 0.893 0.893 0.000

Summary:
uncorrected formation energy = -1.490 eV per atom

no.,N(E_F) (states/eV/f.u.)
1,3.93
2,1.52
3,26.08
4,5.56
5,5.70
6,6.10